[1]
VASP calculation (PBEsol) on an optimized crystal structure of IrSe5.

```
6
Lattice="-2.4786 0.2361 2.7678 -1.2875 -5.0914 -0.7187 5.6212 -1.8003 2.6836" Properties=species:S:1:pos:R:3 pbc="T T T"
Se -0.0015 -3.1500 2.7711
Se 0.3887 -0.5069 2.8951
Se -0.1569 -2.7326 0.0926
Se 3.7277 -1.4311 3.4603
Se 2.8303 -3.8794 2.8655
Ir 0.4869 -0.1869 0.4519
```

Computed properties:
The calculation puts the density of states at the Fermi level at 0.425 states/eV per atom. The formation energy from raw total energies comes out at -0.061 eV/atom. For the offset from the most stable computed form, the calculation gives 0.0 kJ per mole of atoms.



[2]
VASP calculation (PBEsol) on an optimized crystal structure of NaTi3Sb.

```
5
Lattice="-1.9033 3.8859 2.6546 -4.7001 -1.4253 -1.2834 -0.2371 -2.9390 4.1323" Properties=species:S:1:pos:R:3 pbc="T T T"
Na -3.4202 -0.2392 2.7517
Ti -2.3500 -0.7127 -0.6417
Ti -0.9516 1.9430 1.3273
Ti -0.1185 -1.4695 2.0661
Sb 0.0000 0.0000 0.0000
```

Computed properties:
The calculation puts the density of states at the Fermi level at 1.641 states/eV per atom. The formation energy from raw total energies comes out at 0.909 eV/atom.